## one
Below is an optimized crystal structure of Ta2ZnPt, with properties calculated at the PBE level.

POSCAR file:
```
Ta2ZnPt
1.0
3.039 0.000 0.000
0.000 3.672 0.000
0.000 0.000 5.954
Pt Ta Zn
1 2 1
direct
0.500 0.500 0.736
0.000 0.000 0.994
0.500 0.500 0.262
0.000 0.000 0.508
```

Values from the calculation:
* symmetry: Pmm2, No. 25
* density of states at the Fermi level: 2.5 states/eV/f.u.
* density: 15.55 g cm⁻³



## two
Below is an optimized crystal structure of Ta2ZnPt, with properties calculated at the PBE level.

POSCAR file:
```
Ta2ZnPt
1.0
-0.943 0.137 4.457
-4.201 -0.979 1.471
-0.770 -3.867 2.286
Zn Pt Ta
1 1 2
direct
0.000 0.000 0.000
0.500 0.500 0.500
0.250 0.250 0.250
0.750 0.750 0.750
```

Values from the calculation:
* symmetry: Fm-3m, No. 225
* density of states at the Fermi level: 5.6 states/eV/f.u.
* density: 15.44 g cm⁻³



The structure shown above that is least stable: two.